{"formula": "DyCr2ReO8", "functional": "PBE with a Hubbard U", "state": "optimized geometry", "lattice_angstrom": [[-1.8380, -2.6722, 3.4366], [3.6283, 1.0824, 2.8262], [-3.2169, 5.0408, 2.1991]], "species": ["O", "Cr", "O", "O", "Cr", "O", "Dy", "O", "O", "Re", "O", "O"], "frac_coords": [[0.2895, 0.2894, 0.0000], [0.5000, 0.5000, 0.2529], [0.1978, 0.8020, 0.7881], [0.1978, 0.8020, 0.2119], [0.5000, 0.5000, 0.7471], [0.8022, 0.1980, 0.2119], [0.0000, 0.0000, 0.5000], [0.6775, 0.6777, 0.5000], [0.7105, 0.7106, 0.0000], [0.0000, 0.0000, 0.0000], [0.3225, 0.3223, 0.5000], [0.8022, 0.1980, 0.7881]], "energy_ry_per_atom": -0.591, "dos_ef_per_ev_cell": 0.0}